An optimized crystal structure of LiAc2Tl, computed with PBEsol.

Structure (POSCAR):
```
LiAc2Tl
1.0
8.041 0.000 0.000
0.000 8.041 0.000
0.000 0.000 8.041
Li Ac Tl
4 8 4
Cartesian
0.000 0.000 0.000 Li
0.000 4.021 4.021 Li
4.021 0.000 4.021 Li
4.021 4.021 0.000 Li
2.010 2.010 2.010 Ac
2.010 2.010 6.031 Ac
2.010 6.031 2.010 Ac
2.010 6.031 6.031 Ac
6.031 2.010 2.010 Ac
6.031 2.010 6.031 Ac
6.031 6.031 2.010 Ac
6.031 6.031 6.031 Ac
0.000 0.000 4.021 Tl
0.000 4.021 0.000 Tl
4.021 0.000 0.000 Tl
4.021 4.021 4.021 Tl
```

Calculated values
DFT total energy in eV/atom: -3.5968
Magnetic moment in Bohr magnetons per cell: 0.0